No. 1
Here is a relaxed structure of MgGa2Os2 from the Alexandria database. Energies are from PBE.

extended XYZ file:
```
10
Lattice="7.270 0.000 0.000 0.000 7.270 0.000 0.000 0.000 2.922" Properties=species:S:1:pos:R:3 pbc="T T T"
Mg 0.000 0.000 0.000
Mg 3.635 3.635 0.000
Ga 1.024 2.611 0.000
Ga 2.611 6.246 0.000
Ga 4.659 1.024 0.000
Ga 6.246 4.659 0.000
Os 1.128 4.763 1.461
Os 2.507 1.128 1.461
Os 4.763 6.142 1.461
Os 6.142 2.507 1.461
```

Computed properties:
ΔE_f in meV per atom: 42
Space group: P4/mbm
Energy above the lowest structure with this stoichiometry in meV per atom: 0.0
Size of the total moment in μB per formula unit: 0.00

No. 2
Here is a relaxed structure of MgGaOs from the Alexandria database. Energies are from PBE.

extended XYZ file:
```
6
Lattice="1.700 -6.451 0.000 1.700 6.451 0.000 0.000 0.000 4.229" Properties=species:S:1:pos:R:3 pbc="T T T"
Mg 1.700 5.561 3.172
Mg 1.700 -5.561 1.057
Ga 1.700 3.134 1.057
Ga 1.700 -3.134 3.172
Os 1.700 1.393 3.172
Os 1.700 -1.393 1.057
```

Computed properties:
ΔE_f in meV per atom: 17
Space group: Cmcm
Size of the total moment in μB per formula unit: 0.00

No. 3
Here is a relaxed structure of Mg2GaOs2 from the Alexandria database. Energies are from PBE.

extended XYZ file:
```
10
Lattice="6.331 0.000 0.000 0.000 6.331 0.000 0.000 0.000 4.359" Properties=species:S:1:pos:R:3 pbc="T T T"
Mg 1.057 2.109 0.000
Mg 2.109 5.275 0.000
Mg 4.222 1.057 0.000
Mg 5.275 4.222 0.000
Ga 0.000 0.000 2.180
Ga 3.166 3.166 2.180
Os 0.848 4.013 2.180
Os 2.318 0.848 2.180
Os 4.013 5.483 2.180
Os 5.483 2.318 2.180
```

Computed properties:
ΔE_f in meV per atom: 52
Space group: P4/mbm
Size of the total moment in μB per formula unit: 0.00

No. 4
Here is a relaxed structure of Mg4Ga4Os from the Alexandria database. Energies are from PBE.

extended XYZ file:
```
9
Lattice="4.209 -4.062 0.000 4.209 4.062 0.000 -2.282 0.000 5.185" Properties=species:S:1:pos:R:3 pbc="T T T"
Mg 0.000 0.000 0.000
Mg 2.364 2.374 2.517
Mg 4.790 0.000 0.069
Mg 2.364 -2.374 2.517
Ga 0.075 1.844 4.773
Ga 0.477 0.000 2.801
Ga 0.075 -1.844 4.773
Ga 4.240 0.000 3.004
Os 2.423 0.000 1.256
```

Computed properties:
ΔE_f in meV per atom: -91
Space group: Cm
Size of the total moment in μB per formula unit: 0.00

No. 5
Here is a relaxed structure of MgGaOs from the Alexandria database. Energies are from PBE.

extended XYZ file:
```
3
Lattice="4.422 0.000 0.000 -2.211 3.830 0.000 0.000 0.000 2.804" Properties=species:S:1:pos:R:3 pbc="T T T"
Mg 0.000 0.000 0.000
Ga 2.211 1.277 1.402
Os 0.000 2.553 1.402
```

Computed properties:
ΔE_f in meV per atom: 10
Space group: P-6m2
Size of the total moment in μB per formula unit: 0.00

No. 6
Here is a relaxed structure of Mg3GaOs from the Alexandria database. Energies are from PBE.

extended XYZ file:
```
5
Lattice="4.850 0.000 0.000 0.000 4.850 0.000 0.000 0.000 4.850" Properties=species:S:1:pos:R:3 pbc="T T T"
Mg 0.000 0.000 2.425
Mg 0.000 2.425 0.000
Mg 2.425 0.000 0.000
Ga 0.000 0.000 0.000
Os 2.425 2.425 2.425
```

Computed properties:
ΔE_f in meV per atom: 1068
Space group: Pm-3m
Energy above the lowest structure with this stoichiometry in meV per atom: 500.5
Size of the total moment in μB per formula unit: 2.82

No. 7
Here is a relaxed structure of Mg3GaOs from the Alexandria database. Energies are from PBE.

extended XYZ file:
```
5
Lattice="5.009 0.000 0.000 0.000 5.009 0.000 0.000 0.000 5.009" Properties=species:S:1:pos:R:3 pbc="T T T"
Mg 0.000 0.000 2.504
Mg 0.000 2.504 0.000
Mg 2.504 0.000 0.000
Ga 2.504 2.504 2.504
Os 0.000 0.000 0.000
```

Computed properties:
ΔE_f in meV per atom: 567
Space group: Pm-3m
Energy above the lowest structure with this stoichiometry in meV per atom: 0.0
Size of the total moment in μB per formula unit: 0.00

No. 8
Here is a relaxed structure of MgGa3Os from the Alexandria database. Energies are from PBE.

extended XYZ file:
```
5
Lattice="4.840 0.000 0.000 0.000 4.840 0.000 0.000 0.000 4.840" Properties=species:S:1:pos:R:3 pbc="T T T"
Mg 0.000 0.000 0.000
Ga 0.000 2.420 2.420
Ga 2.420 0.000 2.420
Ga 2.420 2.420 0.000
Os 2.420 2.420 2.420
```

Computed properties:
ΔE_f in meV per atom: 88
Space group: Pm-3m
Energy above the lowest structure with this stoichiometry in meV per atom: 0.0
Size of the total moment in μB per formula unit: 0.00

No. 9
Here is a relaxed structure of MgGaOs2 from the Alexandria database. Energies are from PBE.

extended XYZ file:
```
8
Lattice="-3.738 3.738 2.462 3.738 -3.738 2.462 3.738 3.738 -2.462" Properties=species:S:1:pos:R:3 pbc="T T T"
Mg 0.000 0.000 0.000
Mg 0.000 3.738 1.231
Ga 3.738 0.000 1.231
Ga 0.000 0.000 2.462
Os 1.869 -1.463 1.847
Os 2.274 1.869 0.616
Os 1.869 5.201 -0.616
Os 1.463 1.869 3.078
```

Computed properties:
ΔE_f in meV per atom: 696
Space group: I-42d
Size of the total moment in μB per formula unit: 0.00

No. 10
Here is a relaxed structure of MgGaOsPd2 from the Alexandria database. Energies are from PBE.

extended XYZ file:
```
5
Lattice="4.582 0.000 0.000 0.000 4.582 0.000 0.000 0.000 4.637" Properties=species:S:1:pos:R:3 pbc="T T T"
Mg 0.000 0.000 0.000
Ga 2.291 2.291 2.319
Os 2.291 2.291 0.000
Pd 0.000 2.291 2.319
Pd 2.291 0.000 2.319
```

Computed properties:
ΔE_f in meV per atom: 542
Space group: P4/mmm
Energy above the lowest structure with this stoichiometry in meV per atom: 0.0
Size of the total moment in μB per formula unit: 0.70

No. 11
Here is a relaxed structure of MgGaOsPd2 from the Alexandria database. Energies are from PBE.

extended XYZ file:
```
5
Lattice="4.524 0.000 0.000 0.000 4.524 0.000 0.000 0.000 4.714" Properties=species:S:1:pos:R:3 pbc="T T T"
Mg 0.000 0.000 0.000
Ga 0.000 0.000 2.357
Os 2.262 2.262 0.000
Pd 0.000 2.262 2.357
Pd 2.262 0.000 2.357
```

Computed properties:
ΔE_f in meV per atom: 1012
Space group: P4/mmm
Energy above the lowest structure with this stoichiometry in meV per atom: 470.2
Size of the total moment in μB per formula unit: 1.97

No. 12
Here is a relaxed structure of PuMgGaOs from the Alexandria database. Energies are from PBE.

extended XYZ file:
```
4
Lattice="0.000 3.344 3.344 3.344 0.000 3.344 3.344 3.344 0.000" Properties=species:S:1:pos:R:3 pbc="T T T"
Pu 0.000 0.000 0.000
Mg 3.344 3.344 3.344
Ga 5.015 5.015 5.015
Os 1.672 1.672 1.672
```

Computed properties:
ΔE_f in meV per atom: 35
Space group: F-43m
Size of the total moment in μB per formula unit: 4.71

| no. | theoretical density (g/cm³) |
| --- | --- |
| 1 | 11.7 |
| 2 | 10.2 |
| 3 | 9.5 |
| 4 | 5.3 |
| 5 | 9.9 |
| 6 | 4.8 |
| 7 | 4.4 |
| 8 | 6.2 |
| 9 | 11.5 |
| 10 | 8.5 |
| 11 | 8.6 |
| 12 | 11.7 |